No. 1
This record from the Alexandria database describes a relaxed structure of Pr8Co2Cu. The functional is GGA-PBE.

Summary:
Fermi-level density of states: 22.0 states/eV/cell
Calculated formation energy: 5.3 kJ/mol of atoms
Magnetization: 0.00 μB/f.u.
V: 29.6 Å³/atom

Lattice parameters (Å, degrees): 8.819 11.800 6.606 90.00 108.41 90.00
Space group Cm (No. 8)
One atom of each set of equivalent atoms:
Pr  0.000  0.000  0.000 [2 per cell]
Pr  0.085  0.353  0.864 [4 per cell]
Pr  0.160  0.140  0.586 [4 per cell]
Pr  0.234  0.500  0.432 [2 per cell]
Pr  0.376  0.193  0.245 [4 per cell]
Co  0.370  0.315  0.706 [4 per cell]
Cu  0.350  0.000  0.973 [2 per cell]

=====

No. 2
This record from the Alexandria database describes a relaxed structure of Rb2NbPbS4. The functional is GGA-PBE.

Summary:
Formation energy from raw total energies: -87.8 kJ per mole of atoms
Fermi-level density of states: 4.7 states/eV/cell
Magnetization: 0.89 μB/f.u.
V: 34.0 Å³/atom

Lattice parameters (Å, degrees): 8.042 8.042 8.408 90.00 90.00 90.00
Space group I-4 (No. 82)
One atom of each set of equivalent atoms:
Rb  0.000  0.000  0.000 [2 per cell]
Rb  0.000  0.500  0.250 [2 per cell]
Nb  0.000  0.000  0.500 [2 per cell]
Pb  0.000  0.500  0.750 [2 per cell]
S  0.150  0.812  0.651 [8 per cell]

=====

No. 3
This record from the Alexandria database describes a relaxed structure of Zr2ScBr. The functional is GGA-PBE.

Summary:
Formation energy from raw total energies: -9.3 kJ per mole of atoms
Fermi-level density of states: 4.0 states/eV/cell
Magnetization: 0.00 μB/f.u.
V: 22.5 Å³/atom

Lattice parameters (Å, degrees): 3.325 5.005 5.654 90.00 106.94 90.00
Space group Pm (No. 6)
One atom of each set of equivalent atoms:
Zr  0.000  0.000  0.000 [1 per cell]
Zr  0.444  0.500  0.890 [1 per cell]
Sc  0.734  0.000  0.480 [1 per cell]
Br  0.171  0.500  0.347 [1 per cell]

=====

No. 4
This record from the Alexandria database describes a relaxed structure of GeSb2TePd. The functional is GGA-PBE.

Summary:
Formation energy from raw total energies: 43.9 kJ per mole of atoms
Fermi-level density of states: 4.3 states/eV/cell
Energy above the most stable polymorph in this dataset: 0 meV/atom
Magnetization: 0.00 μB/f.u.
V: 29.0 Å³/atom

Lattice parameters (Å, degrees): 5.161 5.161 5.448 90.00 90.00 90.00
Space group P4/mmm (No. 123)
One atom of each set of equivalent atoms:
Ge  0.000  0.000  0.000 [1 per cell]
Sb  0.000  0.500  0.500 [2 per cell]
Te  0.500  0.500  0.000 [1 per cell]
Pd  0.500  0.500  0.500 [1 per cell]

=====

No. 5
This record from the Alexandria database describes a relaxed structure of NiIrSe. The functional is GGA-PBE.

Summary:
Formation energy from raw total energies: 25.4 kJ per mole of atoms
Fermi-level density of states: 13.5 states/eV/cell
Energy above the most stable polymorph in this dataset: 0 meV/atom
Magnetization: 0.56 μB/f.u.
V: 16.7 Å³/atom

Lattice parameters (Å, degrees): 5.848 5.848 5.848 90.00 90.00 90.00
Space group F-43m (No. 216)
One atom of each set of equivalent atoms:
Ni  0.000  0.000  0.000 [4 per cell]
Ir  0.250  0.250  0.750 [4 per cell]
Se  0.000  0.000  0.500 [4 per cell]

=====

No. 6
This record from the Alexandria database describes a relaxed structure of Ac8CuP3I4. The functional is GGA-PBE.

Summary:
Formation energy from raw total energies: -106.9 kJ per mole of atoms
Fermi-level density of states: 34.7 states/eV/cell
Magnetization: 0.00 μB/f.u.
V: 35.3 Å³/atom

Lattice parameters (Å, degrees): 8.9366 8.9366 24.5317 90.00 90.00 120.00
Space group R-3m (No. 166, hexagonal axes)
One atom of each set of equivalent atoms:
Ac  0.0000  0.0000  0.2316 [6 per cell]
Ac  0.0005  0.5002  0.2320 [18 per cell]
Cu  0.0000  0.0000  0.5000 [3 per cell]
P  0.0000  0.5000  0.5000 [9 per cell]
I  0.0000  0.0000  0.0000 [3 per cell]
I  0.0000  0.5000  0.0000 [9 per cell]